[1]
Here is MgP after structural relaxation from Alexandria. Energies are from PBEsol.

- Total magnetization: 0.000 μB per atom
- Distance to the lowest polymorph of the same formula: 0.0 meV/atom
- DOS at the Fermi energy: 0.065 states/eV/atom

Unit cell a=4.3306 b=4.3306 c=16.2862 alpha=90.00 beta=90.00 gamma=120.00
Space group R-3m (No. 166, hexagonal axes)
Inequivalent atoms, fractional coordinates:
Mg 0.0000 0.0000 0.2363 x6
P 0.0000 0.0000 0.0695 x6

---

[2]
Here is BeCoRe2F after structural relaxation from Alexandria. Energies are from PBEsol.

- Total magnetization: 0.367 μB per atom
- DOS at the Fermi energy: 1.296 states/eV/atom
- E_form (uncorrected): 1.333 eV per atom

Unit cell a=4.024 b=4.024 c=3.940 alpha=90.00 beta=90.00 gamma=90.00
Space group P4/mmm (No. 123)
Inequivalent atoms, fractional coordinates:
Be 0.000 0.000 0.000 x1
Co 0.500 0.500 0.000 x1
Re 0.000 0.500 0.500 x2
F 0.500 0.500 0.500 x1

---

[3]
Here is InFeTc2Sb after structural relaxation from Alexandria. Energies are from PBEsol.

- Total magnetization: 0.000 μB per atom
- DOS at the Fermi energy: 1.160 states/eV/atom
- E_form (uncorrected): 0.960 eV per atom

Unit cell a=4.441 b=4.441 c=4.673 alpha=90.00 beta=90.00 gamma=90.00
Space group P4/mmm (No. 123)
Inequivalent atoms, fractional coordinates:
In 0.000 0.000 0.000 x1
Fe 0.000 0.000 0.500 x1
Tc 0.000 0.500 0.500 x2
Sb 0.500 0.500 0.000 x1

---

[4]
Here is Cd2SnHg2 after structural relaxation from Alexandria. Energies are from PBEsol.

- Uncorrected energy: -1.52 eV per atom
- Total magnetization: 0.000 μB per atom
- DOS at the Fermi energy: 0.474 states/eV/atom

Unit cell a=8.386 b=8.386 c=3.296 alpha=90.00 beta=90.00 gamma=90.00
Space group P4/mbm (No. 127)
Inequivalent atoms, fractional coordinates:
Cd 0.128 0.372 0.000 x4
Sn 0.000 0.000 0.500 x2
Hg 0.170 0.670 0.500 x4

---

[5]
Here is La3Zr after structural relaxation from Alexandria. Energies are from PBEsol.

- Uncorrected energy: -6.17 eV per atom
- Total magnetization: 0.000 μB per atom
- DOS at the Fermi energy: 1.492 states/eV/atom

Unit cell a=3.478 b=3.478 c=9.905 alpha=90.00 beta=90.00 gamma=90.00
Space group P4/mmm (No. 123)
Inequivalent atoms, fractional coordinates:
La 0.000 0.000 0.000 x1
La 0.500 0.500 0.268 x2
Zr 0.000 0.000 0.500 x1

---

[6]
Here is Tl2InW after structural relaxation from Alexandria. Energies are from PBEsol.

- Total magnetization: 0.000 μB per atom
- Distance to the lowest polymorph of the same formula: 0.0 meV/atom
- DOS at the Fermi energy: 0.561 states/eV/atom

Unit cell a=2.956 b=2.956 c=10.302 alpha=90.00 beta=90.00 gamma=90.00
Space group P4mm (No. 99)
Inequivalent atoms, fractional coordinates:
Tl 0.000 0.000 0.000 x1
Tl 0.500 0.500 0.297 x1
In 0.500 0.500 0.730 x1
W 0.000 0.000 0.524 x1

---

Question: DOS at the Fermi energy of number 6 (Tl2InW)?
Answer: 0.561 states/eV/atom